# 1
First-principles (PBE) data for a geometry-optimized Tb2HoNi4Ge4 structure, as listed in OQMD via LeMat-Bulk.

Spin magnetization: 0.001 μB per atom
Space group: Immm, No. 71
Total DFT energy (no corrections): -5.692 eV per atom

The structure in CIF format:
```
data_Tb2HoNi4Ge4
_chemical_formula_sum 'Tb2 Ho1 Ni4 Ge4'
_cell_length_a 7.845
_cell_length_b 7.845
_cell_length_c 7.845
_cell_angle_alpha 149.59
_cell_angle_beta 129.56
_cell_angle_gamma 60.04
_symmetry_space_group_name_H-M 'P 1'
_symmetry_Int_Tables_number 1
_symmetry_space_group_name_Hall 'P 1'
loop_
_atom_site_label
_atom_site_type_symbol
_atom_site_fract_x
_atom_site_fract_y
_atom_site_fract_z
Tb1 Tb 0.130 0.130 0.000
Tb2 Tb 0.870 0.870 0.000
Ho1 Ho 0.500 0.000 0.500
Ni1 Ni 0.130 0.324 0.806
Ni2 Ni 0.482 0.676 0.806
Ni3 Ni 0.518 0.324 0.194
Ni4 Ni 0.870 0.676 0.194
Ge1 Ge 0.195 0.500 0.695
Ge2 Ge 0.283 0.783 0.500
Ge3 Ge 0.717 0.217 0.500
Ge4 Ge 0.805 0.500 0.305
```

=====

# 2
First-principles (PBE) data for a geometry-optimized HoTmNi2Ge structure, as listed in OQMD via LeMat-Bulk.

Spin magnetization: 0.001 μB per atom
Space group: Amm2, No. 38
Total DFT energy (no corrections): -5.581 eV per atom

The structure in CIF format:
```
data_HoTmNi2Ge
_chemical_formula_sum 'Ho1 Tm1 Ni2 Ge1'
_cell_length_a 3.567
_cell_length_b 6.850
_cell_length_c 6.850
_cell_angle_alpha 33.33
_cell_angle_beta 90.00
_cell_angle_gamma 90.00
_symmetry_space_group_name_H-M 'P 1'
_symmetry_Int_Tables_number 1
_symmetry_space_group_name_Hall 'P 1'
loop_
_atom_site_label
_atom_site_type_symbol
_atom_site_fract_x
_atom_site_fract_y
_atom_site_fract_z
Ho1 Ho 0.000 0.000 0.000
Tm1 Tm 0.000 0.260 0.260
Ni1 Ni 0.500 0.434 0.434
Ni2 Ni 0.500 0.823 0.823
Ge1 Ge 0.500 0.630 0.630
```

=====

# 3
First-principles (PBE) data for a geometry-optimized Ho2TmNi4Ge4 structure, as listed in OQMD via LeMat-Bulk.

Spin magnetization: 0.000 μB per atom
Space group: Immm, No. 71
Total DFT energy (no corrections): -5.681 eV per atom

The structure in CIF format:
```
data_Ho2TmNi4Ge4
_chemical_formula_sum 'Ho2 Tm1 Ni4 Ge4'
_cell_length_a 7.777
_cell_length_b 7.777
_cell_length_c 7.777
_cell_angle_alpha 149.64
_cell_angle_beta 129.20
_cell_angle_gamma 60.34
_symmetry_space_group_name_H-M 'P 1'
_symmetry_Int_Tables_number 1
_symmetry_space_group_name_Hall 'P 1'
loop_
_atom_site_label
_atom_site_type_symbol
_atom_site_fract_x
_atom_site_fract_y
_atom_site_fract_z
Ho1 Ho 0.129 0.129 0.000
Ho2 Ho 0.871 0.871 0.000
Tm1 Tm 0.500 0.000 0.500
Ni1 Ni 0.130 0.324 0.806
Ni2 Ni 0.482 0.676 0.806
Ni3 Ni 0.518 0.324 0.194
Ni4 Ni 0.870 0.676 0.194
Ge1 Ge 0.195 0.500 0.695
Ge2 Ge 0.283 0.783 0.500
Ge3 Ge 0.717 0.217 0.500
Ge4 Ge 0.805 0.500 0.305
```

=====

# 4
First-principles (PBE) data for a geometry-optimized HoTmNi2Ge4 structure, as listed in OQMD via LeMat-Bulk.

Spin magnetization: 0.000 μB per atom
Space group: Amm2, No. 38
Total DFT energy (no corrections): -5.507 eV per atom

The structure in CIF format:
```
data_HoTmNi2Ge4
_chemical_formula_sum 'Ho1 Tm1 Ni2 Ge4'
_cell_length_a 4.176
_cell_length_b 8.617
_cell_length_c 8.617
_cell_angle_alpha 27.17
_cell_angle_beta 90.00
_cell_angle_gamma 90.00
_symmetry_space_group_name_H-M 'P 1'
_symmetry_Int_Tables_number 1
_symmetry_space_group_name_Hall 'P 1'
loop_
_atom_site_label
_atom_site_type_symbol
_atom_site_fract_x
_atom_site_fract_y
_atom_site_fract_z
Ho1 Ho 0.000 0.000 0.000
Tm1 Tm 0.500 0.784 0.784
Ni1 Ni 0.000 0.215 0.215
Ni2 Ni 0.500 0.569 0.569
Ge1 Ge 0.000 0.351 0.351
Ge2 Ge 0.000 0.640 0.640
Ge3 Ge 0.500 0.144 0.144
Ge4 Ge 0.500 0.432 0.432
```

=====

The lowest total DFT energy (no corrections) belongs to which entry? Tb2HoNi4Ge4